No. 1
# NaGePd2F8 | Alexandria via LeMat-Bulk | PBE | relaxed
data_NaGePd2F8
_symmetry_space_group_name_H-M 'P 1'
_symmetry_Int_Tables_number 1
_cell_length_a 5.101
_cell_length_b 5.178
_cell_length_c 6.738
_cell_angle_alpha 90.00
_cell_angle_beta 90.00
_cell_angle_gamma 93.08
loop_
_symmetry_equiv_pos_as_xyz
'x,y,z'
loop_
_atom_site_label
_atom_site_type_symbol
_atom_site_fract_x
_atom_site_fract_y
_atom_site_fract_z
F1 F 0.176 0.837 0.195
Ge1 Ge 0.000 0.000 0.000
F2 F 0.699 0.688 0.500
Pd1 Pd 0.500 0.500 0.749
Pd2 Pd 0.500 0.500 0.251
F3 F 0.263 0.274 0.000
F4 F 0.176 0.837 0.805
F5 F 0.824 0.163 0.805
F6 F 0.824 0.163 0.195
Na1 Na 0.000 0.000 0.500
F7 F 0.737 0.726 0.000
F8 F 0.301 0.312 0.500
# **Size of the total moment**: 3.00 μB per cell
# **Formation energy (no corrections)**: -1.8186 eV/atom



No. 2
# CaNd6Sm2Ho | Alexandria via LeMat-Bulk | PBE | relaxed
data_CaNd6Sm2Ho
_symmetry_space_group_name_H-M 'P 1'
_symmetry_Int_Tables_number 1
_cell_length_a 9.974
_cell_length_b 9.062
_cell_length_c 9.062
_cell_angle_alpha 118.80
_cell_angle_beta 94.68
_cell_angle_gamma 94.68
loop_
_symmetry_equiv_pos_as_xyz
'x,y,z'
loop_
_atom_site_label
_atom_site_type_symbol
_atom_site_fract_x
_atom_site_fract_y
_atom_site_fract_z
Ca1 Ca 0.750 0.598 0.402
Nd1 Nd 0.876 0.284 0.497
Nd2 Nd 0.677 0.029 0.576
Nd3 Nd 0.624 0.503 0.716
Ho1 Ho 0.250 0.977 0.023
Ho2 Ho 0.750 0.023 0.977
Nd4 Nd 0.177 0.576 0.029
Nd5 Nd 0.052 0.118 0.765
Nd6 Nd 0.448 0.235 0.882
Nd7 Nd 0.823 0.424 0.971
Nd8 Nd 0.124 0.716 0.503
Sm1 Sm 0.042 0.299 0.200
Sm2 Sm 0.458 0.800 0.701
Nd9 Nd 0.948 0.882 0.235
Nd10 Nd 0.552 0.765 0.118
Sm3 Sm 0.542 0.200 0.299
Nd11 Nd 0.376 0.497 0.284
Ca2 Ca 0.250 0.402 0.598
Nd12 Nd 0.323 0.971 0.424
Sm4 Sm 0.958 0.701 0.800
# **Size of the total moment**: 0.00 μB per cell
# **Energy of formation from the pure elements**: 127 meV/atom



No. 3
# Th2Cu2Si3 | Alexandria via LeMat-Bulk | PBE | relaxed
data_Th2Cu2Si3
_symmetry_space_group_name_H-M 'P 1'
_symmetry_Int_Tables_number 1
_cell_length_a 4.317
_cell_length_b 6.725
_cell_length_c 9.366
_cell_angle_alpha 90.00
_cell_angle_beta 103.32
_cell_angle_gamma 90.00
loop_
_symmetry_equiv_pos_as_xyz
'x,y,z'
loop_
_atom_site_label
_atom_site_type_symbol
_atom_site_fract_x
_atom_site_fract_y
_atom_site_fract_z
Cu1 Cu 0.682 0.933 0.363
Th1 Th 0.051 0.750 0.101
Th2 Th 0.162 0.250 0.323
Cu2 Cu 0.318 0.067 0.637
Si1 Si 0.561 0.427 0.121
Si2 Si 0.439 0.927 0.879
Si3 Si 0.561 0.073 0.121
Th3 Th 0.949 0.250 0.899
Th4 Th 0.838 0.750 0.677
Si4 Si 0.439 0.573 0.879
Si5 Si 0.218 0.750 0.436
Cu3 Cu 0.318 0.433 0.637
Cu4 Cu 0.682 0.567 0.363
Si6 Si 0.782 0.250 0.564
# **Size of the total moment**: 0.00 μB per cell
# **Formation energy (no corrections)**: -0.5684 eV/atom



No. 4
# LaHfAu | Alexandria via LeMat-Bulk | PBE | relaxed
data_LaHfAu
_symmetry_space_group_name_H-M 'P 1'
_symmetry_Int_Tables_number 1
_cell_length_a 4.304
_cell_length_b 4.304
_cell_length_c 7.931
_cell_angle_alpha 90.00
_cell_angle_beta 90.00
_cell_angle_gamma 90.00
loop_
_symmetry_equiv_pos_as_xyz
'x,y,z'
loop_
_atom_site_label
_atom_site_type_symbol
_atom_site_fract_x
_atom_site_fract_y
_atom_site_fract_z
Hf1 Hf 0.500 0.000 0.871
Au1 Au 0.500 0.000 0.199
Hf2 Hf 0.000 0.500 0.129
La1 La 0.500 0.500 0.500
Au2 Au 0.000 0.500 0.801
La2 La 0.000 0.000 0.500
# **Size of the total moment**: 0.00 μB per cell
# **Distance to the lowest polymorph of the same formula**: 332 meV per atom
# **Energy of formation from the pure elements**: -73 meV/atom



No. 5
# InHgB | Alexandria via LeMat-Bulk | PBE | relaxed
data_InHgB
_symmetry_space_group_name_H-M 'P 1'
_symmetry_Int_Tables_number 1
_cell_length_a 4.086
_cell_length_b 6.220
_cell_length_c 6.232
_cell_angle_alpha 85.52
_cell_angle_beta 75.63
_cell_angle_gamma 70.49
loop_
_symmetry_equiv_pos_as_xyz
'x,y,z'
loop_
_atom_site_label
_atom_site_type_symbol
_atom_site_fract_x
_atom_site_fract_y
_atom_site_fract_z
Hg1 Hg 0.660 0.767 0.366
B1 B 0.989 0.389 0.709
In1 In 0.474 0.260 0.340
In2 In 0.471 0.261 0.873
B2 B 0.824 0.389 0.504
Hg2 Hg 0.777 0.769 0.844
# **Size of the total moment**: 0.00 μB per cell
# **Energy of formation from the pure elements**: 504 meV/atom



No. 6
# KHf3Ti | Alexandria via LeMat-Bulk | PBE | relaxed
data_KHf3Ti
_symmetry_space_group_name_H-M 'P 1'
_symmetry_Int_Tables_number 1
_cell_length_a 5.172
_cell_length_b 5.172
_cell_length_c 5.172
_cell_angle_alpha 90.00
_cell_angle_beta 90.00
_cell_angle_gamma 90.00
loop_
_symmetry_equiv_pos_as_xyz
'x,y,z'
loop_
_atom_site_label
_atom_site_type_symbol
_atom_site_fract_x
_atom_site_fract_y
_atom_site_fract_z
Ti1 Ti 0.000 0.000 0.000
Hf1 Hf 0.500 0.000 0.000
K1 K 0.500 0.500 0.500
Hf2 Hf 0.000 0.500 0.000
Hf3 Hf 0.000 0.000 0.500
# **Size of the total moment**: 0.00 μB per cell
# **Distance to the lowest polymorph of the same formula**: 0 meV per atom
# **Energy of formation from the pure elements**: 1114 meV/atom



No. 7
# NaTiGaF6 | Alexandria via LeMat-Bulk | PBE | relaxed
data_NaTiGaF6
_symmetry_space_group_name_H-M 'P 1'
_symmetry_Int_Tables_number 1
_cell_length_a 5.736
_cell_length_b 5.736
_cell_length_c 5.195
_cell_angle_alpha 90.02
_cell_angle_beta 89.98
_cell_angle_gamma 59.95
loop_
_symmetry_equiv_pos_as_xyz
'x,y,z'
loop_
_atom_site_label
_atom_site_type_symbol
_atom_site_fract_x
_atom_site_fract_y
_atom_site_fract_z
F1 F 0.601 0.054 0.294
Ti1 Ti 0.333 0.333 0.500
F2 F 0.054 0.346 0.294
F3 F 0.054 0.601 0.706
F4 F 0.345 0.054 0.706
F5 F 0.600 0.346 0.706
Na1 Na 0.667 0.667 0.500
F6 F 0.346 0.600 0.294
Ga1 Ga 0.000 0.000 0.000
# **Size of the total moment**: 0.00 μB per cell
# **Formation energy (no corrections)**: -2.9103 eV/atom



No. 8
# KBa2NaTl | Alexandria via LeMat-Bulk | PBE | relaxed
data_KBa2NaTl
_symmetry_space_group_name_H-M 'P 1'
_symmetry_Int_Tables_number 1
_cell_length_a 6.832
_cell_length_b 6.832
_cell_length_c 6.256
_cell_angle_alpha 90.00
_cell_angle_beta 90.00
_cell_angle_gamma 90.00
loop_
_symmetry_equiv_pos_as_xyz
'x,y,z'
loop_
_atom_site_label
_atom_site_type_symbol
_atom_site_fract_x
_atom_site_fract_y
_atom_site_fract_z
Ba1 Ba 0.000 0.500 0.000
Ba2 Ba 0.500 0.000 0.000
K1 K 0.500 0.500 0.500
Tl1 Tl 0.000 0.000 0.000
Na1 Na 0.000 0.000 0.500
# **Size of the total moment**: 0.00 μB per cell
# **Distance to the lowest polymorph of the same formula**: 0 meV per atom
# **Energy of formation from the pure elements**: -18 meV/atom



No. 9
# Th6Tl2Hg | Alexandria via LeMat-Bulk | PBE | relaxed
data_Th6Tl2Hg
_symmetry_space_group_name_H-M 'P 1'
_symmetry_Int_Tables_number 1
_cell_length_a 4.917
_cell_length_b 10.567
_cell_length_c 10.568
_cell_angle_alpha 90.00
_cell_angle_beta 90.00
_cell_angle_gamma 90.00
loop_
_symmetry_equiv_pos_as_xyz
'x,y,z'
loop_
_atom_site_label
_atom_site_type_symbol
_atom_site_fract_x
_atom_site_fract_y
_atom_site_fract_z
Th1 Th 0.500 0.506 0.327
Th2 Th 0.000 0.006 0.173
Tl1 Tl 0.500 0.816 0.684
Th3 Th 0.500 0.173 0.993
Th4 Th 0.000 0.647 0.853
Th5 Th 0.000 0.994 0.827
Th6 Th 0.500 0.827 0.007
Th7 Th 0.500 0.494 0.673
Th8 Th 0.000 0.673 0.507
Tl2 Tl 0.000 0.684 0.184
Tl3 Tl 0.500 0.184 0.316
Hg1 Hg 0.000 0.000 0.500
Hg2 Hg 0.500 0.500 0.000
Th9 Th 0.500 0.853 0.353
Tl4 Tl 0.000 0.316 0.816
Th10 Th 0.000 0.327 0.493
Th11 Th 0.000 0.353 0.147
Th12 Th 0.500 0.147 0.647
# **Size of the total moment**: 0.00 μB per cell
# **Energy of formation from the pure elements**: -43 meV/atom



No. 10
# Sm3AlCu2 | Alexandria via LeMat-Bulk | PBE | relaxed
data_Sm3AlCu2
_symmetry_space_group_name_H-M 'P 1'
_symmetry_Int_Tables_number 1
_cell_length_a 3.545
_cell_length_b 3.545
_cell_length_c 11.068
_cell_angle_alpha 90.00
_cell_angle_beta 90.00
_cell_angle_gamma 90.00
loop_
_symmetry_equiv_pos_as_xyz
'x,y,z'
loop_
_atom_site_label
_atom_site_type_symbol
_atom_site_fract_x
_atom_site_fract_y
_atom_site_fract_z
Sm1 Sm 0.000 0.000 0.323
Sm2 Sm 0.000 0.000 0.677
Al1 Al 0.500 0.500 0.500
Sm3 Sm 0.000 0.000 0.000
Cu1 Cu 0.500 0.500 0.163
Cu2 Cu 0.500 0.500 0.837
# **Size of the total moment**: 0.00 μB per cell
# **Energy of formation from the pure elements**: -240 meV/atom



No. 11
# Be16SiMo2 | Alexandria via LeMat-Bulk | PBE | relaxed
data_Be16SiMo2
_symmetry_space_group_name_H-M 'P 1'
_symmetry_Int_Tables_number 1
_cell_length_a 5.552
_cell_length_b 5.552
_cell_length_c 5.552
_cell_angle_alpha 83.26
_cell_angle_beta 83.26
_cell_angle_gamma 83.26
loop_
_symmetry_equiv_pos_as_xyz
'x,y,z'
loop_
_atom_site_label
_atom_site_type_symbol
_atom_site_fract_x
_atom_site_fract_y
_atom_site_fract_z
Be1 Be 0.836 0.348 0.348
Be2 Be 0.648 0.648 0.169
Be3 Be 0.692 0.000 0.307
Be4 Be 0.648 0.169 0.648
Be5 Be 0.003 0.003 0.493
Be6 Be 0.107 0.107 0.107
Be7 Be 0.000 0.692 0.307
Be8 Be 0.348 0.836 0.348
Be9 Be 0.000 0.307 0.692
Mo1 Mo 0.658 0.658 0.658
Be10 Be 0.003 0.493 0.003
Be11 Be 0.348 0.348 0.836
Si1 Si 0.899 0.899 0.899
Mo2 Mo 0.341 0.341 0.341
Be12 Be 0.493 0.003 0.003
Be13 Be 0.307 0.692 0.000
Be14 Be 0.307 0.000 0.692
Be15 Be 0.169 0.648 0.648
Be16 Be 0.692 0.307 0.000
# **Size of the total moment**: 0.00 μB per cell
# **Formation energy (no corrections)**: -0.1156 eV/atom



No. 12
# SrCa2Mg | Alexandria via LeMat-Bulk | PBE | relaxed
data_SrCa2Mg
_symmetry_space_group_name_H-M 'P 1'
_symmetry_Int_Tables_number 1
_cell_length_a 5.328
_cell_length_b 5.367
_cell_length_c 5.507
_cell_angle_alpha 90.00
_cell_angle_beta 90.00
_cell_angle_gamma 90.00
loop_
_symmetry_equiv_pos_as_xyz
'x,y,z'
loop_
_atom_site_label
_atom_site_type_symbol
_atom_site_fract_x
_atom_site_fract_y
_atom_site_fract_z
Sr1 Sr 0.000 0.500 0.500
Ca1 Ca 0.500 0.500 0.000
Mg1 Mg 0.500 0.000 0.500
Ca2 Ca 0.000 0.000 0.000
# **Size of the total moment**: 0.00 μB per cell
# **Energy of formation from the pure elements**: 15 meV/atom



Which value of size of the total moment does entry 1 give? 3.00 μB per cell